A plane-wave DFT calculation with PBE was carried out for a geometry-optimized Er5GaTe2 structure.

Properties
The calculation puts the raw total energy at -4.5466 eV/atom. The calculation puts the raw formation energy at -0.531 eV/atom.

Cell lengths 5.964, 6.811, 13.187 Å; angles 90.00, 90.00, 115.97 degrees
Positions (direct):
Er 0.940 0.879 0.887
Er 0.940 0.879 0.613
Er 0.382 0.763 0.431
Er 0.382 0.763 0.069
Er 0.635 0.270 0.250
Er 0.365 0.730 0.750
Er 0.618 0.237 0.569
Er 0.618 0.237 0.931
Er 0.060 0.121 0.113
Er 0.060 0.121 0.387
Ga 0.757 0.514 0.750
Ga 0.243 0.486 0.250
Te 0.812 0.623 0.414
Te 0.812 0.623 0.086
Te 0.188 0.377 0.586
Te 0.188 0.377 0.914

---

A plane-wave DFT calculation with PBE was carried out for a geometry-optimized CaCeCd structure.

Properties
The calculation puts the raw total energy at -3.0055 eV/atom. The energy above the most stable polymorph in this dataset comes out at 74 meV/atom.

Cell lengths 3.565, 3.565, 7.690 Å; angles 103.40, 103.40, 90.00 degrees
Each line ends with the local moment (μB).
Positions (direct):
Ca 0.019 0.019 0.038  0.01
Ce 0.315 0.315 0.630  1.04
Cd 0.666 0.666 0.332  -0.01

---

Q: raw total energy of number 1 (Er5GaTe2)?
A: -4.5466 eV/atom